Entry from Alexandria: a relaxed structure of Dy2Ho7Tm2 (PBE).

Geometry as extended XYZ:
```
11
Lattice="5.737 -1.607 -0.467 -1.410 9.610 5.244 -1.075 2.045 7.580" Properties=species:S:1:pos:R:3 pbc="T T T"
Dy 1.298 7.612 7.157
Dy 1.954 2.436 5.201
Ho 3.395 5.306 6.284
Ho -0.827 9.702 8.417
Ho -0.143 4.742 6.073
Ho 4.080 0.346 3.941
Ho 0.000 0.000 0.000
Ho 1.295 6.713 3.834
Ho 3.032 1.290 0.944
Tm 0.548 3.636 2.065
Tm 3.780 4.367 2.713
```

Summary:
distance to the lowest polymorph of the same formula = 52 meV/atom
N(E_F) = 1.53 states/eV per atom
energy relative to the elements = 0.1664 eV per atom
space group = No. 12

***

Entry from Alexandria: a relaxed structure of Dy5Ho4Tm3 (PBE).

Geometry as extended XYZ:
```
12
Lattice="6.786 -0.355 1.815 -5.145 7.321 -6.585 4.029 -3.773 11.401" Properties=species:S:1:pos:R:3 pbc="T T T"
Dy 2.192 1.618 5.711
Dy 5.407 -2.064 6.608
Dy 6.547 -0.381 9.468
Dy -0.877 3.574 -2.836
Dy 3.478 1.575 0.920
Ho 4.617 3.259 3.775
Ho 5.583 1.445 6.624
Ho 0.086 1.748 0.008
Ho 1.053 -0.065 2.856
Tm 4.444 -0.244 3.761
Tm 2.014 -1.887 5.700
Tm 1.225 3.437 2.871
```

Summary:
distance to the lowest polymorph of the same formula = 0 meV/atom
N(E_F) = 1.29 states/eV per atom
energy relative to the elements = 0.0205 eV per atom
space group = No. 2

***

Entry from Alexandria: a relaxed structure of DyHo5Tm2 (PBE).

Geometry as extended XYZ:
```
16
Lattice="4.958 0.000 0.000 0.000 7.018 0.000 0.000 0.000 14.036" Properties=species:S:1:pos:R:3 pbc="T T T"
Dy 0.000 0.000 7.018
Dy 0.000 3.509 0.000
Ho 0.000 0.000 0.000
Ho 0.000 3.509 7.018
Ho 0.000 3.507 10.525
Ho 0.000 3.510 3.511
Ho 0.000 0.002 3.507
Ho 0.000 7.016 10.528
Ho 2.479 1.753 12.280
Ho 2.479 5.265 1.756
Ho 2.479 1.756 5.262
Ho 2.479 5.262 8.774
Tm 2.479 1.754 8.772
Tm 2.479 5.264 5.263
Tm 2.479 1.755 1.754
Tm 2.479 5.263 12.281
```

Summary:
N(E_F) = 1.14 states/eV per atom
energy relative to the elements = 0.0186 eV per atom
space group = No. 55